Below is crystalline Ta2NiSb2 at its relaxed geometry, with properties calculated at the GGA-PBE level.

Geometry as extended XYZ:
```
5
Lattice="3.9914 0.0000 0.0000 0.0000 3.9914 0.0000 1.9957 1.9957 6.7762" Properties=species:S:1:pos:R:3 pbc="T T T"
Sb 3.9914 1.9957 3.3881
Sb 1.9957 3.9914 3.3881
Ni 0.0000 0.0000 0.0000
Ta 3.9914 3.9914 5.5081
Ta 1.9957 1.9957 1.2681
```

Properties
ΔE to the lowest computed polymorph   554.4 meV/atom
Total magnetization   0.000 μB per atom
ΔE_f (raw)   0.82 eV/atom